No. 1
Entry from the Alexandria database: a relaxed structure of Ho3Pu (PBE).

## Properties
E_form in eV/atom: 0.189
Offset from the most stable computed form in meV/atom: 110
Uncorrected energy in eV per atom: -6.827

a = 5.5524 Å, b = 5.5524 Å, c = 5.5524 Å
α = 60.00°, β = 60.00°, γ = 60.00°
Fractional positions:
Ho  0.0000  0.0000  0.0000
Ho  0.7500  0.7500  0.7500
Ho  0.2500  0.2500  0.2500
Pu  0.5000  0.5000  0.5000

***

No. 2
Entry from the Alexandria database: a relaxed structure of HgPbBr2 (PBE).

## Properties
Offset from the most stable computed form in meV/atom: 0
Energy relative to the elements, uncorrected in eV per atom: -0.654
Uncorrected energy in eV per atom: -2.493

a = 4.4563 Å, b = 4.4563 Å, c = 10.2304 Å
α = 77.56°, β = 77.56°, γ = 59.82°
Fractional positions:
Pb  0.2500  0.2500  0.2500
Hg  0.7500  0.7500  0.7500
Br  0.9731  0.9731  0.0800
Br  0.5269  0.5269  0.4200

***

No. 3
Entry from the Alexandria database: a relaxed structure of Cd5HgO6 (PBE).

## Properties
Energy relative to the elements, uncorrected in eV per atom: -0.870
Uncorrected energy in eV per atom: -3.756

a = 5.9039 Å, b = 5.9057 Å, c = 5.8883 Å
α = 59.90°, β = 80.18°, γ = 70.13°
Fractional positions:
Cd  0.5000  0.1653  0.6695
Cd  0.0000  0.3334  0.3331
Cd  0.5000  0.5000  0.0000
Cd  0.0000  0.6666  0.6669
Cd  0.5000  0.8347  0.3305
Hg  0.0000  0.0000  0.0000
O  0.7477  0.0831  0.3414
O  0.2523  0.5754  0.3414
O  0.2587  0.2578  0.0000
O  0.7413  0.7422  0.0000
O  0.7477  0.4246  0.6586
O  0.2523  0.9169  0.6586

***

No. 4
Entry from the Alexandria database: a relaxed structure of NaIO (PBE).

## Properties
Energy relative to the elements, uncorrected in eV per atom: -0.426
Uncorrected energy in eV per atom: -3.036

a = 3.1668 Å, b = 7.0160 Å, c = 9.9514 Å
α = 135.07°, β = 80.84°, γ = 76.96°
Fractional positions:
O  0.7835  0.0507  0.3823
O  0.2165  0.9493  0.6177
I  0.4059  0.0133  0.1750
I  0.5941  0.9867  0.8250
Na  0.9848  0.6807  0.3497
Na  0.0152  0.3193  0.6503

***

No. 5
Entry from the Alexandria database: a relaxed structure of TbDy6Y3 (PBE).

## Properties
E_form in eV/atom: 0.125
Offset from the most stable computed form in meV/atom: 0
Uncorrected energy in eV per atom: -5.038

a = 6.3561 Å, b = 11.5396 Å, c = 11.5396 Å
α = 130.54°, β = 90.00°, γ = 90.00°
Fractional positions:
Tb  0.0135  0.1620  0.8380
Tb  0.5135  0.8380  0.1620
Dy  0.0672  0.7427  0.6215
Dy  0.5672  0.6215  0.7427
Dy  0.3288  0.4571  0.8952
Dy  0.8288  0.8952  0.4571
Dy  0.3232  0.9842  0.0158
Dy  0.7865  0.3008  0.6992
Dy  0.2865  0.6992  0.3008
Dy  0.8232  0.0158  0.9842
Dy  0.3288  0.1048  0.5429
Dy  0.8288  0.5429  0.1048
Dy  0.0672  0.3785  0.2573
Dy  0.5672  0.2573  0.3785
Y  0.4891  0.9580  0.7043
Y  0.9891  0.7043  0.9580
Y  0.0922  0.4201  0.5799
Y  0.5922  0.5799  0.4201
Y  0.9891  0.0420  0.2957
Y  0.4891  0.2957  0.0420

***

No. 6
Entry from the Alexandria database: a relaxed structure of Pu2NpNiN5 (PBE).

## Properties
Energy relative to the elements, uncorrected in eV per atom: -0.796
Uncorrected energy in eV per atom: -10.686

a = 3.3965 Å, b = 6.7058 Å, c = 10.2295 Å
α = 90.00°, β = 90.00°, γ = 104.67°
Fractional positions:
Pu  0.8642  0.7284  0.8043
Pu  0.0977  0.1954  0.6846
Pu  0.1358  0.2716  0.3043
Pu  0.9023  0.8046  0.1846
Np  0.7967  0.5933  0.5119
Np  0.2033  0.4067  0.0119
Ni  0.5204  0.0409  0.9536
Ni  0.4796  0.9591  0.4536
N  0.3696  0.7392  0.9971
N  0.6711  0.3422  0.8792
N  0.4853  0.9707  0.7731
N  0.2770  0.5541  0.6545
N  0.9496  0.8993  0.5656
N  0.6304  0.2608  0.4971
N  0.3289  0.6578  0.3792
N  0.5147  0.0293  0.2731
N  0.7230  0.4459  0.1545
N  0.0504  0.1007  0.0656

***

No. 7
Entry from the Alexandria database: a relaxed structure of Na3YHg12 (PBE).

## Properties
E_form in eV/atom: -0.217
Uncorrected energy in eV per atom: -1.095

a = 4.6447 Å, b = 4.6447 Å, c = 18.7140 Å
α = 90.00°, β = 90.00°, γ = 90.00°
Fractional positions:
Na  0.0000  0.0000  0.2485
Na  0.0000  0.0000  0.5000
Na  0.0000  0.0000  0.7515
Y  0.0000  0.0000  0.0000
Hg  0.5000  0.5000  0.0000
Hg  0.5000  0.5000  0.2459
Hg  0.5000  0.5000  0.5000
Hg  0.5000  0.5000  0.7541
Hg  0.5000  0.0000  0.1229
Hg  0.5000  0.0000  0.3731
Hg  0.5000  0.0000  0.6269
Hg  0.5000  0.0000  0.8771
Hg  0.0000  0.5000  0.1229
Hg  0.0000  0.5000  0.3731
Hg  0.0000  0.5000  0.6269
Hg  0.0000  0.5000  0.8771

***

No. 8
Entry from the Alexandria database: a relaxed structure of Tl2FeSb (PBE).

## Properties
Offset from the most stable computed form in meV/atom: 285
Energy relative to the elements, uncorrected in eV per atom: 0.533
Uncorrected energy in eV per atom: -3.796

a = 9.9960 Å, b = 9.9960 Å, c = 9.9960 Å
α = 19.42°, β = 19.42°, γ = 19.42°
Fractional positions:
Fe  0.2500  0.2500  0.2500
Sb  0.7500  0.7500  0.7500
Tl  0.9884  0.9884  0.9884
Tl  0.5116  0.5116  0.5116

***

No. 9
Entry from the Alexandria database: a relaxed structure of Ba2LiZn3Ag4 (PBE).

## Properties
E_form in eV/atom: -0.209
Uncorrected energy in eV per atom: -2.308

a = 4.7850 Å, b = 4.7850 Å, c = 10.5745 Å
α = 90.00°, β = 90.00°, γ = 90.00°
Fractional positions:
Ba  0.5000  0.0000  0.2460
Ba  0.0000  0.5000  0.7540
Li  0.5000  0.5000  0.5000
Zn  0.0000  0.0000  0.5000
Zn  0.5000  0.0000  0.8774
Zn  0.0000  0.5000  0.1226
Ag  0.5000  0.5000  0.0000
Ag  0.0000  0.0000  0.0000
Ag  0.5000  0.0000  0.6233
Ag  0.0000  0.5000  0.3767

***

No. 10
Entry from the Alexandria database: a relaxed structure of BeAl2Ir (PBE).

## Properties
E_form in eV/atom: -0.522
Uncorrected energy in eV per atom: -5.540

a = 4.6530 Å, b = 4.8490 Å, c = 4.9158 Å
α = 99.69°, β = 91.59°, γ = 91.37°
Fractional positions:
Be  0.3462  0.1322  0.2919
Be  0.5963  0.9786  0.7638
Ir  0.8449  0.3082  0.1007
Ir  0.3389  0.6392  0.4460
Al  0.3536  0.4817  0.9308
Al  0.1005  0.9684  0.7850
Al  0.8245  0.8404  0.2701
Al  0.8293  0.4467  0.6153

***

No. 11
Entry from the Alexandria database: a relaxed structure of La3U2N6 (PBE).

## Properties
Energy relative to the elements, uncorrected in eV per atom: -1.291
Uncorrected energy in eV per atom: -9.229

a = 4.3301 Å, b = 4.3301 Å, c = 10.6205 Å
α = 101.76°, β = 101.76°, γ = 90.00°
Fractional positions:
La  0.0000  0.0000  0.0000
La  0.8146  0.8146  0.6293
La  0.1854  0.1854  0.3707
U  0.4048  0.4048  0.8096
U  0.5952  0.5952  0.1904
N  0.0875  0.5875  0.1749
N  0.5875  0.0875  0.1749
N  0.9125  0.4125  0.8251
N  0.4125  0.9125  0.8251
N  0.7022  0.7022  0.4043
N  0.2978  0.2978  0.5957

***

No. 12
Entry from the Alexandria database: a relaxed structure of MnNb2IrC (PBE).

## Properties
E_form in eV/atom: -0.251
Uncorrected energy in eV per atom: -9.730

a = 4.2906 Å, b = 4.2906 Å, c = 3.7648 Å
α = 90.00°, β = 90.00°, γ = 90.00°
Fractional positions:
Nb  0.0000  0.5000  0.0000
Nb  0.5000  0.0000  0.0000
Ir  0.5000  0.5000  0.5000
C  0.0000  0.0000  0.0000
Mn  0.0000  0.0000  0.5000

***

No. 13
Entry from the Alexandria database: a relaxed structure of ZnPdAu5 (PBE).

## Properties
E_form in eV/atom: 0.007
Uncorrected energy in eV per atom: -3.258

a = 8.1951 Å, b = 8.1951 Å, c = 9.9992 Å
α = 38.84°, β = 38.84°, γ = 57.21°
Fractional positions:
Zn  0.0000  0.0000  0.0000
Zn  0.0000  0.0000  0.5000
Pd  0.4723  0.5277  0.2500
Pd  0.5277  0.4723  0.7500
Au  0.6480  0.9495  0.0491
Au  0.2355  0.5621  0.6450
Au  0.9495  0.6480  0.5491
Au  0.8317  0.1683  0.2500
Au  0.4379  0.7645  0.8550
Au  0.5621  0.2355  0.1450
Au  0.1683  0.8317  0.7500
Au  0.0505  0.3520  0.4509
Au  0.7645  0.4379  0.3550
Au  0.3520  0.0505  0.9509

***

No. 14
Entry from the Alexandria database: a relaxed structure of Pm3Er2Th4 (PBE).

## Properties
E_form in eV/atom: 0.047
Uncorrected energy in eV per atom: -5.848

a = 5.0746 Å, b = 7.9968 Å, c = 14.7231 Å
α = 144.16°, β = 90.00°, γ = 108.50°
Fractional positions:
Pm  0.5530  0.1060  0.6687
Pm  0.0000  0.0000  0.0000
Pm  0.4470  0.8940  0.3313
Er  0.7724  0.5448  0.3328
Er  0.2276  0.4552  0.6672
Th  0.6653  0.3305  0.9961
Th  0.3347  0.6695  0.0039
Th  0.8907  0.7813  0.6673
Th  0.1093  0.2187  0.3327

***

No. 15
Entry from the Alexandria database: a relaxed structure of Li6HoZn6 (PBE).

## Properties
E_form in eV/atom: -0.187
Uncorrected energy in eV per atom: -2.010

a = 5.1291 Å, b = 6.9572 Å, c = 6.9572 Å
α = 82.50°, β = 68.37°, γ = 68.37°
Fractional positions:
Li  0.3565  0.6435  0.6435
Li  0.6435  0.3565  0.3565
Li  0.0000  0.3455  0.6545
Li  0.0000  0.6545  0.3455
Li  0.2924  0.2076  0.2076
Li  0.7076  0.7924  0.7924
Ho  0.0000  0.0000  0.0000
Zn  0.0000  0.5000  0.0000
Zn  0.5000  0.5000  0.0000
Zn  0.0000  0.0000  0.5000
Zn  0.5000  0.0000  0.5000
Zn  0.5000  0.7902  0.2098
Zn  0.5000  0.2098  0.7902

***

No. 16
Entry from the Alexandria database: a relaxed structure of BaNaN2 (PBE).

## Properties
Offset from the most stable computed form in meV/atom: 133
Energy relative to the elements, uncorrected in eV per atom: 0.797
Uncorrected energy in eV per atom: -4.176

a = 4.4215 Å, b = 4.4215 Å, c = 8.1420 Å
α = 74.24°, β = 74.24°, γ = 90.00°
Fractional positions:
Na  0.5000  0.5000  0.0000
Na  0.2500  0.7500  0.5000
Ba  0.0000  0.0000  0.0000
Ba  0.7500  0.2500  0.5000
N  0.4338  0.1250  0.2500
N  0.3162  0.6250  0.2500
N  0.3750  0.5662  0.7500
N  0.8750  0.6838  0.7500

***

No. 17
Entry from the Alexandria database: a relaxed structure of La2AlTe (PBE).

## Properties
Offset from the most stable computed form in meV/atom: 562
Energy relative to the elements, uncorrected in eV per atom: -0.410
Uncorrected energy in eV per atom: -4.595

a = 3.7641 Å, b = 3.7641 Å, c = 8.6582 Å
α = 90.00°, β = 90.00°, γ = 90.00°
Fractional positions:
Te  0.0000  0.0000  0.5400
Al  0.5000  0.5000  0.7105
La  0.0000  0.0000  0.9366
La  0.5000  0.5000  0.3130

***

No. 18
Entry from the Alexandria database: a relaxed structure of Sr2GaAgPt (PBE).

## Properties
E_form in eV/atom: -0.434
Uncorrected energy in eV per atom: -3.490

a = 5.8725 Å, b = 5.8725 Å, c = 4.7744 Å
α = 90.00°, β = 90.00°, γ = 90.00°
Fractional positions:
Sr  0.0000  0.5000  0.0000
Sr  0.5000  0.0000  0.0000
Ga  0.0000  0.0000  0.5000
Ag  0.5000  0.5000  0.5000
Pt  0.0000  0.0000  0.0000

***

No. 19
Entry from the Alexandria database: a relaxed structure of K2BaHg2 (PBE).

## Properties
E_form in eV/atom: -0.131
Offset from the most stable computed form in meV/atom: 103
Uncorrected energy in eV per atom: -1.076

a = 9.7863 Å, b = 9.7863 Å, c = 4.0829 Å
α = 90.00°, β = 90.00°, γ = 90.00°
Fractional positions:
K  0.3784  0.8784  0.0000
K  0.8784  0.6216  0.0000
K  0.6216  0.1216  0.0000
K  0.1216  0.3784  0.0000
Hg  0.1814  0.6814  0.5000
Hg  0.6814  0.8186  0.5000
Hg  0.8186  0.3186  0.5000
Hg  0.3186  0.1814  0.5000
Ba  0.0000  0.0000  0.0000
Ba  0.5000  0.5000  0.0000

***

No. 20
Entry from the Alexandria database: a relaxed structure of GaBrF (PBE).

## Properties
Offset from the most stable computed form in meV/atom: 2
Energy relative to the elements, uncorrected in eV per atom: -1.506
Uncorrected energy in eV per atom: -3.696

a = 5.0436 Å, b = 5.0459 Å, c = 6.8392 Å
α = 87.48°, β = 77.15°, γ = 72.59°
Fractional positions:
Ga  0.9722  0.5331  0.6142
Ga  0.2736  0.8353  0.6134
Br  0.0865  0.2041  0.3370
Br  0.5664  0.5695  0.8912
F  0.1871  0.1741  0.7554
F  0.6528  0.7866  0.4726

***

No. 21
Entry from the Alexandria database: a relaxed structure of MgCd2Tc (PBE).

## Properties
E_form in eV/atom: 0.255
Uncorrected energy in eV per atom: -3.193

a = 2.8774 Å, b = 4.3357 Å, c = 5.9541 Å
α = 90.00°, β = 90.00°, γ = 90.00°
Fractional positions:
Cd  0.0000  0.0000  0.9831
Cd  0.5000  0.5000  0.2530
Mg  0.0000  0.0000  0.5228
Tc  0.5000  0.5000  0.7411

***

No. 22
Entry from the Alexandria database: a relaxed structure of ReAg6Cl12 (PBE).

## Properties
Energy relative to the elements, uncorrected in eV per atom: -0.480
Uncorrected energy in eV per atom: -3.202

a = 7.8437 Å, b = 7.8437 Å, c = 7.8437 Å
α = 94.58°, β = 94.58°, γ = 94.58°
Fractional positions:
Re  0.0000  0.0000  0.0000
Ag  0.1442  0.3490  0.6273
Ag  0.6510  0.3727  0.8558
Ag  0.3727  0.8558  0.6510
Ag  0.8558  0.6510  0.3727
Ag  0.3490  0.6273  0.1442
Ag  0.6273  0.1442  0.3490
Cl  0.3979  0.1726  0.5946
Cl  0.1726  0.5946  0.3979
Cl  0.5946  0.3979  0.1726
Cl  0.6021  0.8274  0.4054
Cl  0.8274  0.4054  0.6021
Cl  0.4054  0.6021  0.8274
Cl  0.0375  0.9276  0.7133
Cl  0.2867  0.9625  0.0724
Cl  0.0724  0.2867  0.9625
Cl  0.9625  0.0724  0.2867
Cl  0.7133  0.0375  0.9276
Cl  0.9276  0.7133  0.0375

***

No. 23
Entry from the Alexandria database: a relaxed structure of Sr2P4Pb (PBE).

## Properties
E_form in eV/atom: -0.444
Uncorrected energy in eV per atom: -4.546

a = 3.5289 Å, b = 8.8884 Å, c = 11.3814 Å
α = 90.00°, β = 90.00°, γ = 90.00°
Fractional positions:
Pb  0.0000  0.0000  0.0000
Pb  0.0000  0.5000  0.5000
Sr  0.5000  0.1511  0.6414
Sr  0.5000  0.8489  0.3586
Sr  0.5000  0.3489  0.1414
Sr  0.5000  0.6511  0.8586
P  0.5000  0.2987  0.8766
P  0.5000  0.7013  0.1234
P  0.5000  0.2013  0.3766
P  0.5000  0.7987  0.6234
P  0.0000  0.3926  0.7663
P  0.0000  0.6074  0.2337
P  0.0000  0.1074  0.2663
P  0.0000  0.8926  0.7337

***

no.,N(E_F) (states/eV/cell),total magnetization (μB per formula unit)
1,10.173,7.05
2,0.000,0.00
3,3.449,0.00
4,3.033,0.00
5,31.394,0.00
6,26.981,10.01
7,5.758,0.00
8,4.320,2.76
9,3.986,0.00
10,2.116,0.00
11,8.095,2.09
12,4.345,0.01
13,3.890,0.00
14,13.457,0.00
15,5.186,0.00
16,4.019,0.69
17,5.479,0.00
18,4.908,0.00
19,8.164,0.00
20,0.000,0.00
21,2.884,0.00
22,7.855,0.97
23,4.085,0.00